Record 1
Dy3ZrCd4: optimized geometry, GGA-PBE.

Output
Formation energy in kcal/mol of atoms: -5.4
Space-group type: No. 123
N(E_F) in states/eV/f.u.: 9.80
E_tot in eV/atom: -3.487

Unit cell a=3.6986 b=3.6986 c=14.6412 alpha=90.00 beta=90.00 gamma=90.00
Closest atoms and distances in Å follow each position.
Element x y z (fractional)
Dy 0.0000 0.0000 0.0000  8 Cd 3.23
Dy 0.0000 0.0000 0.2594  8 Cd 3.22-3.23, 1 Zr 3.52
Dy 0.0000 0.0000 0.7406  8 Cd 3.22-3.23, 1 Zr 3.52
Zr 0.0000 0.0000 0.5000  8 Cd 3.08
Cd 0.5000 0.5000 0.1296  8 Dy 3.23
Cd 0.5000 0.5000 0.3883  4 Zr 3.08, 4 Dy 3.22, 1 Cd 3.27
Cd 0.5000 0.5000 0.6117  4 Zr 3.08, 4 Dy 3.22, 1 Cd 3.27
Cd 0.5000 0.5000 0.8704  8 Dy 3.23

***

Record 2
SmDy3Ho2Bi6: optimized geometry, GGA-PBE.

Output
Formation energy in kcal/mol of atoms: -19.9
Space-group type: No. 12
N(E_F) in states/eV/f.u.: 2.00
E_tot in eV/atom: -5.109

Unit cell a=10.0252 b=10.0252 c=8.9700 alpha=102.87 beta=102.87 gamma=25.85
Closest atoms and distances in Å follow each position.
Element x y z (fractional)
Sm 0.0000 0.0000 0.0000  6 Bi 3.20
Dy 0.0000 0.0000 0.5000  6 Bi 3.15-3.17
Dy 0.3344 0.3344 0.1676  6 Bi 3.16-3.18
Dy 0.6656 0.6656 0.8324  6 Bi 3.16-3.18
Ho 0.3328 0.3328 0.6668  6 Bi 3.16-3.17
Ho 0.6672 0.6672 0.3332  6 Bi 3.16-3.17
Bi 0.1668 0.1668 0.5822  3 Ho 3.16-3.17, 3 Dy 3.17-3.18
Bi 0.1684 0.1684 0.0846  3 Dy 3.16-3.18, 2 Ho 3.17, 1 Sm 3.20
Bi 0.4991 0.4991 0.7457  3 Dy 3.15-3.17, 1 Ho 3.16, 2 Sm 3.20
Bi 0.5009 0.5009 0.2543  3 Dy 3.15-3.17, 1 Ho 3.16, 2 Sm 3.20
Bi 0.8316 0.8316 0.9154  3 Dy 3.16-3.18, 2 Ho 3.17, 1 Sm 3.20
Bi 0.8332 0.8332 0.4178  3 Ho 3.16-3.17, 3 Dy 3.17-3.18

***

Record 3
MnCo2Mo: optimized geometry, GGA-PBE.

Output
Formation energy in kcal/mol of atoms: -0.2
Distance to the lowest polymorph of the same formula in meV/atom: 0
Space-group type: No. 123
N(E_F) in states/eV/f.u.: 3.12
E_tot in eV/atom: -8.561

Unit cell a=3.6133 b=3.6133 c=3.6360 alpha=90.00 beta=90.00 gamma=90.00
Closest atoms and distances in Å follow each position.
Element x y z (fractional)
Mn 0.0000 0.0000 0.0000  4 Mo 2.56, 8 Co 2.56
Co 0.0000 0.5000 0.5000  4 Co 2.56, 4 Mn 2.56, 4 Mo 2.56
Co 0.5000 0.0000 0.5000  4 Co 2.56, 4 Mn 2.56, 4 Mo 2.56
Mo 0.5000 0.5000 0.0000  4 Mn 2.56, 8 Co 2.56

***

Record 4
RbAsAu2S4: optimized geometry, GGA-PBE.

Output
Space-group type: No. 23
E_tot in eV/atom: -3.936

Unit cell a=6.2849 b=8.2632 c=8.9306 alpha=90.00 beta=90.00 gamma=90.00
Closest atoms and distances in Å follow each position.
Element x y z (fractional)
Rb 0.0000 0.0000 0.0000  8 S 3.60-3.67
Rb 0.5000 0.5000 0.5000  8 S 3.60-3.67
As 0.0000 0.0000 0.5000  4 S 2.24
As 0.5000 0.5000 0.0000  4 S 2.24
Au 0.0000 0.5000 0.1676  2 S 2.33
Au 0.0000 0.5000 0.8324  2 S 2.33
Au 0.5000 0.0000 0.3324  2 S 2.33
Au 0.5000 0.0000 0.6676  2 S 2.33
S 0.1944 0.1586 0.3499  1 As 2.24, 1 Au 2.33
S 0.1944 0.8414 0.6501  1 As 2.24, 1 Au 2.33
S 0.3056 0.3414 0.8499  1 As 2.24, 1 Au 2.33
S 0.3056 0.6586 0.1501  1 As 2.24, 1 Au 2.33
S 0.6944 0.3414 0.1501  1 As 2.24, 1 Au 2.33
S 0.6944 0.6586 0.8499  1 As 2.24, 1 Au 2.33
S 0.8056 0.1586 0.6501  1 As 2.24, 1 Au 2.33
S 0.8056 0.8414 0.3499  1 As 2.24, 1 Au 2.33

***

Record 5
LuNiSnIr: optimized geometry, GGA-PBE.

Output
Formation energy in kcal/mol of atoms: -12.9
Space-group type: No. 216
N(E_F) in states/eV/f.u.: 2.46
E_tot in eV/atom: -6.351

Unit cell a=6.5269 b=6.5269 c=6.5269 alpha=90.00 beta=90.00 gamma=90.00
Closest atoms and distances in Å follow each position.
Element x y z (fractional)
Lu 0.0000 0.0000 0.0000  4 Ni 2.83, 4 Ir 2.83
Lu 0.0000 0.5000 0.5000  4 Ni 2.83, 4 Ir 2.83
Lu 0.5000 0.0000 0.5000  4 Ni 2.83, 4 Ir 2.83
Lu 0.5000 0.5000 0.0000  4 Ni 2.83, 4 Ir 2.83
Ni 0.2500 0.2500 0.7500  4 Sn 2.83, 4 Lu 2.83
Ni 0.2500 0.7500 0.2500  4 Sn 2.83, 4 Lu 2.83
Ni 0.7500 0.2500 0.2500  4 Sn 2.83, 4 Lu 2.83
Ni 0.7500 0.7500 0.7500  4 Sn 2.83, 4 Lu 2.83
Sn 0.0000 0.0000 0.5000  4 Ni 2.83, 4 Ir 2.83
Sn 0.0000 0.5000 0.0000  4 Ni 2.83, 4 Ir 2.83
Sn 0.5000 0.0000 0.0000  4 Ni 2.83, 4 Ir 2.83
Sn 0.5000 0.5000 0.5000  4 Ni 2.83, 4 Ir 2.83
Ir 0.2500 0.2500 0.2500  4 Sn 2.83, 4 Lu 2.83
Ir 0.2500 0.7500 0.7500  4 Sn 2.83, 4 Lu 2.83
Ir 0.7500 0.2500 0.7500  4 Sn 2.83, 4 Lu 2.83
Ir 0.7500 0.7500 0.2500  4 Sn 2.83, 4 Lu 2.83

***

Record 6
CaZr2Cu: optimized geometry, GGA-PBE.

Output
Formation energy in kcal/mol of atoms: 4.6
Distance to the lowest polymorph of the same formula in meV/atom: 188
Space-group type: No. 123
N(E_F) in states/eV/f.u.: 5.09
E_tot in eV/atom: -5.598

Unit cell a=3.2082 b=3.2082 c=9.1381 alpha=90.00 beta=90.00 gamma=90.00
Closest atoms and distances in Å follow each position.
Element x y z (fractional)
Ca 0.0000 0.0000 0.0000  4 Ca 3.21
Zr 0.5000 0.5000 0.3155  4 Cu 2.83
Zr 0.5000 0.5000 0.6845  4 Cu 2.83
Cu 0.0000 0.0000 0.5000  8 Zr 2.83

***

> Among the records above, which one has the lowest E_tot?

MnCo2Mo